Density functional theory data (PBE) for an optimized crystal structure of KLi2MgPb.

extended XYZ file:
```
5
Lattice="5.4846 0.0000 0.0000 0.0000 5.4846 0.0000 0.0000 0.0000 5.6370" Properties=species:S:1:pos:R:3 pbc="T T T"
Pb 0.0000 0.0000 0.0000
Li 2.7423 0.0000 0.0000
Li 0.0000 2.7423 0.0000
K 2.7423 2.7423 2.8185
Mg 0.0000 0.0000 2.8185
```

final energy	-10.37	eV for the cell shown

Density functional theory data (PBE) for an optimized crystal structure of KLiMg2Pd.

extended XYZ file:
```
5
Lattice="-3.1914 -2.5999 -3.1156 4.0447 -1.7184 -2.7090 0.3268 -4.1110 3.0957" Properties=species:S:1:pos:R:3 pbc="T T T"
Li 0.1634 -2.0555 1.5479
Mg 2.0223 -0.8592 -1.3545
Mg -1.5957 -1.2999 -1.5578
K 0.5901 -4.2147 -1.3645
Pd 0.0000 0.0000 0.0000
```

final energy	-12.19	eV for the cell shown

Density functional theory data (PBE) for an optimized crystal structure of KLiMgPd2.

extended XYZ file:
```
5
Lattice="4.6623 0.0000 0.0000 0.0000 4.6623 0.0000 0.0000 0.0000 4.8577" Properties=species:S:1:pos:R:3 pbc="T T T"
Pd 2.3311 0.0000 0.0000
Pd 0.0000 2.3311 0.0000
K 2.3311 2.3311 2.4288
Li 0.0000 0.0000 0.0000
Mg 0.0000 0.0000 2.4288
```

final energy	-14.23	eV for the cell shown

Density functional theory data (PBE) for an optimized crystal structure of KLiMg2Pd.

extended XYZ file:
```
5
Lattice="5.1208 0.0000 0.0000 0.0000 6.0121 0.0000 0.0000 0.0000 5.1208" Properties=species:S:1:pos:R:3 pbc="T T T"
Mg 2.5604 0.0000 0.0000
Mg 0.0000 0.0000 2.5604
Pd 0.0000 0.0000 0.0000
Li 2.5604 3.0060 2.5604
K 0.0000 3.0060 0.0000
```

final energy	-11.19	eV for the cell shown

Density functional theory data (PBE) for an optimized crystal structure of KLi2MgPd.

extended XYZ file:
```
5
Lattice="-1.9595 -3.2479 -3.4249 -0.2558 -3.6298 3.5885 -4.7292 1.5527 1.2334" Properties=species:S:1:pos:R:3 pbc="T T T"
Pd 0.0000 0.0000 0.0000
Li -0.9798 -1.6239 -1.7124
Li -0.1279 -1.8149 1.7943
Mg -2.3646 0.7764 0.6167
K -3.4723 -2.6625 0.6985
```

final energy	-12.26	eV for the cell shown

Density functional theory data (PBE) for an optimized crystal structure of K2Li3MgSb4.

extended XYZ file:
```
10
Lattice="-3.2413 0.1063 -3.2947 3.2938 -0.0782 -3.2429 -0.3588 -12.7266 -0.0576" Properties=species:S:1:pos:R:3 pbc="T T T"
Sb -1.8491 -8.0525 -1.6840
Sb 0.0263 0.0141 -3.2688
Sb 1.5166 -4.6601 -1.6424
Sb 0.0000 0.0000 0.0000
Mg -0.1531 -6.3493 -3.2976
K 1.3768 -9.6200 -1.6648
K -1.7093 -3.0926 -1.6616
Li 1.5957 -1.8549 -1.6297
Li -0.1794 -6.3633 -0.0288
Li -1.9282 -10.8576 -1.6967
```

E_form (uncorrected)	-471	meV per atom

Density functional theory data (PBE) for an optimized crystal structure of K2LiMg3Sb4.

extended XYZ file:
```
10
Lattice="-1.3512 -0.4677 4.7265 -2.6043 -4.0365 -1.1439 9.6436 -6.8123 2.0829" Properties=species:S:1:pos:R:3 pbc="T T T"
K 1.8165 -1.9943 2.9015
K 5.8492 -7.0701 0.9727
Sb 2.2790 -4.5480 0.2015
Sb -1.9778 -2.2521 1.7913
Sb 0.0000 0.0000 0.0000
Sb 5.3868 -4.5164 3.6727
Li 2.8440 -5.6582 2.8327
Mg 0.0354 -2.9631 -0.2831
Mg 4.8218 -3.4062 1.0415
Mg 7.6304 -6.1012 4.1572
```

E_form (uncorrected)	-467	meV per atom

Density functional theory data (PBE) for an optimized crystal structure of KLiMgSn.

extended XYZ file:
```
4
Lattice="5.2207 0.0000 0.0000 2.6104 4.5213 0.0000 2.6104 1.5071 4.2627" Properties=species:S:1:pos:R:3 pbc="T T T"
Sn 2.6104 1.5071 1.0657
Li 5.2207 3.0142 2.1314
K 7.8311 4.5213 3.1970
Mg 0.0000 0.0000 0.0000
```

final energy	-9.21	eV for the cell shown